DFT (PBE-GGA) results for a relaxed Li2PaAu8 crystal.

a = 4.8055 Å, b = 4.9680 Å, c = 9.6792 Å
α = 89.01°, β = 82.20°, γ = 66.76°
Sites, in units of the cell vectors:
Li (0.2047, 0.2529, 0.1389)
Li (0.7953, 0.7471, 0.8611)
Pa (0.5000, 0.0000, 0.5000)
Au (0.1490, 0.6385, 0.6112)
Au (0.1860, 0.7359, 0.3196)
Au (0.2555, 0.7534, 0.0026)
Au (0.2930, 0.2258, 0.8311)
Au (0.7070, 0.7742, 0.1689)
Au (0.7445, 0.2466, 0.9974)
Au (0.8140, 0.2641, 0.6804)
Au (0.8510, 0.3615, 0.3888)

volume	19.1	Å³/atom
energy relative to the elements	-305	meV/atom
density	14.38	g cm⁻³
SG	P-1, No. 2